Record 1
# PrPuCd (PBE-GGA, relaxed)
data_PrPuCd
_chemical_formula_sum 'Pr1 Pu1 Cd1'
_cell_length_a 5.0876
_cell_length_b 5.0876
_cell_length_c 5.0876
_cell_angle_alpha 60.00
_cell_angle_beta 60.00
_cell_angle_gamma 60.00
_symmetry_space_group_name_H-M 'P 1'
_symmetry_Int_Tables_number 1
loop_
_symmetry_equiv_pos_as_xyz
'x,y,z'
loop_
_atom_site_label
_atom_site_type_symbol
_atom_site_fract_x
_atom_site_fract_y
_atom_site_fract_z
Cd1 Cd 0.2500 0.2500 0.2500
Pr1 Pr 0.7500 0.7500 0.7500
Pu1 Pu 0.0000 0.0000 0.0000
# ΔE_f, eV/atom: 0.3989
# M_tot, μB per cell: 5.85
# Offset from the most stable computed form, meV/atom: 0

Record 2
# RbPrCdS3 (PBE-GGA, relaxed)
data_RbPrCdS3
_chemical_formula_sum 'Rb2 Pr2 Cd2 S6'
_cell_length_a 7.7728
_cell_length_b 7.7728
_cell_length_c 11.1121
_cell_angle_alpha 90.00
_cell_angle_beta 90.00
_cell_angle_gamma 31.74
_symmetry_space_group_name_H-M 'P 1'
_symmetry_Int_Tables_number 1
loop_
_symmetry_equiv_pos_as_xyz
'x,y,z'
loop_
_atom_site_label
_atom_site_type_symbol
_atom_site_fract_x
_atom_site_fract_y
_atom_site_fract_z
Cd1 Cd 0.4626 0.4626 0.2500
Cd2 Cd 0.5374 0.5374 0.7500
Pr1 Pr 0.0000 0.0000 0.0000
Pr2 Pr 0.0000 0.0000 0.5000
Rb1 Rb 0.7437 0.7437 0.2500
Rb2 Rb 0.2563 0.2563 0.7500
S1 S 0.3768 0.3768 0.0565
S2 S 0.0649 0.0649 0.2500
S3 S 0.3768 0.3768 0.4435
S4 S 0.6232 0.6232 0.5565
S5 S 0.9351 0.9351 0.7500
S6 S 0.6232 0.6232 0.9435
# M_tot, μB per cell: 0.01
# Offset from the most stable computed form, meV/atom: 0

Record 3
# RbPrCdS3 (PBE-GGA, relaxed)
data_RbPrCdS3
_chemical_formula_sum 'Rb4 Pr4 Cd4 S12'
_cell_length_a 11.7646
_cell_length_b 4.3587
_cell_length_c 12.6380
_cell_angle_alpha 90.00
_cell_angle_beta 90.00
_cell_angle_gamma 90.00
_symmetry_space_group_name_H-M 'P 1'
_symmetry_Int_Tables_number 1
loop_
_symmetry_equiv_pos_as_xyz
'x,y,z'
loop_
_atom_site_label
_atom_site_type_symbol
_atom_site_fract_x
_atom_site_fract_y
_atom_site_fract_z
Cd1 Cd 0.7410 0.0000 0.2131
Cd2 Cd 0.2410 0.0000 0.2869
Cd3 Cd 0.7590 0.5000 0.7131
Cd4 Cd 0.2590 0.5000 0.7869
Pr1 Pr 0.4717 0.5000 0.1644
Pr2 Pr 0.9717 0.5000 0.3356
Pr3 Pr 0.0283 0.0000 0.6644
Pr4 Pr 0.5283 0.0000 0.8356
Rb1 Rb 0.8414 0.5000 0.0022
Rb2 Rb 0.3414 0.5000 0.4978
Rb3 Rb 0.6586 0.0000 0.5022
Rb4 Rb 0.1586 0.0000 0.9978
S1 S 0.5996 0.0000 0.0608
S2 S 0.2211 0.5000 0.1838
S3 S 0.9549 0.0000 0.1844
S4 S 0.4549 0.0000 0.3156
S5 S 0.7211 0.5000 0.3162
S6 S 0.0996 0.0000 0.4392
S7 S 0.9004 0.5000 0.5608
S8 S 0.2789 0.0000 0.6838
S9 S 0.5451 0.5000 0.6844
S10 S 0.0451 0.5000 0.8156
S11 S 0.7789 0.0000 0.8162
S12 S 0.4004 0.5000 0.9392
# M_tot, μB per cell: 0.00
# Offset from the most stable computed form, meV/atom: 28

Record 4
# RbPrCdS3 (PBE-GGA, relaxed)
data_RbPrCdS3
_chemical_formula_sum 'Rb2 Pr2 Cd2 S6'
_cell_length_a 9.0407
_cell_length_b 9.0407
_cell_length_c 9.1309
_cell_angle_alpha 103.64
_cell_angle_beta 103.64
_cell_angle_gamma 27.25
_symmetry_space_group_name_H-M 'P 1'
_symmetry_Int_Tables_number 1
loop_
_symmetry_equiv_pos_as_xyz
'x,y,z'
loop_
_atom_site_label
_atom_site_type_symbol
_atom_site_fract_x
_atom_site_fract_y
_atom_site_fract_z
Cd1 Cd 0.5040 0.5040 0.2211
Cd2 Cd 0.4960 0.4960 0.7789
Pr1 Pr 0.1697 0.1697 0.0888
Pr2 Pr 0.8303 0.8303 0.9112
Rb1 Rb 0.8564 0.8564 0.4328
Rb2 Rb 0.1436 0.1436 0.5672
S1 S 0.0000 0.0000 0.0000
S2 S 0.3364 0.3364 0.1297
S3 S 0.6595 0.6595 0.2853
S4 S 0.5000 0.5000 0.5000
S5 S 0.3405 0.3405 0.7147
S6 S 0.6636 0.6636 0.8703
# M_tot, μB per cell: 0.00
# Offset from the most stable computed form, meV/atom: 78

| no. | density (Mg/m³) |
| --- | --- |
| 1 | 8.9 |
| 2 | 4.1 |
| 3 | 4.5 |
| 4 | 4.4 |